Here is LiPbBr2 at its PBEsol-relaxed geometry from the Alexandria database. Energies are from meta-GGA SCAN.

Values from the calculation:
Raw formation energy (eV per atom): -1.048
DFT total energy (eV/atom): -30.32

Geometry as CIF:
```
data_LiPbBr2
_chemical_formula_sum 'Li2 Pb2 Br4'
_cell_length_a 6.517
_cell_length_b 3.657
_cell_length_c 8.279
_cell_angle_alpha 90.00
_cell_angle_beta 99.81
_cell_angle_gamma 90.00
_space_group_name_H-M_alt 'C 1 2/m 1'
_space_group_IT_number 12
_space_group_name_Hall '-C 2y'
loop_
_atom_site_label
_atom_site_fract_x
_atom_site_fract_y
_atom_site_fract_z
Li1 0.000 0.000 0.000
Pb1 0.000 0.500 0.500
Br1 0.208 0.500 0.191
```